# Ta2HPb2, relaxed, DFT PBE
# Magnetization, μB/f.u.: 0.000
# Energy, eV per atom: -5.9497
# Energy above the lowest structure with this stoichiometry, meV per atom: 0
# Calculated density, Mg/m³: 11.42
data_Ta2HPb2
_cell_length_a 3.7500
_cell_length_b 3.7500
_cell_length_c 16.0729
_cell_angle_alpha 90.00
_cell_angle_beta 90.00
_cell_angle_gamma 90.00
_symmetry_space_group_name_H-M 'I 4/m m m'
_symmetry_Int_Tables_number 139
_symmetry_space_group_name_Hall '-I 4 2'
loop_
_atom_site_label
_atom_site_fract_x
_atom_site_fract_y
_atom_site_fract_z
Ta1 0.0000 0.5000 0.2500
H1 0.0000 0.0000 0.0000
Pb1 0.0000 0.0000 0.4058